A plane-wave DFT calculation with PBE+U was carried out for a relaxed Mn3FeNi2P6O24 crystal.

Cell: 8.424 8.424 8.424 Å, 60.78 60.78 60.78°
Fractional coordinates of all 36 atoms:
Mn (0.000, 0.000, 0.000)
Mn (0.217, 0.217, 0.217)
Mn (0.717, 0.717, 0.717)
Fe (0.499, 0.499, 0.499)
Ni (0.359, 0.359, 0.359)
Ni (0.858, 0.858, 0.858)
P (0.110, 0.816, 0.399)
P (0.316, 0.609, 0.899)
P (0.399, 0.110, 0.816)
P (0.609, 0.899, 0.316)
P (0.816, 0.399, 0.110)
P (0.899, 0.316, 0.609)
O (0.043, 0.854, 0.240)
O (0.103, 0.296, 0.449)
O (0.115, 0.776, 0.912)
O (0.176, 0.973, 0.364)
O (0.240, 0.043, 0.854)
O (0.270, 0.615, 0.414)
O (0.296, 0.449, 0.103)
O (0.348, 0.549, 0.740)
O (0.364, 0.176, 0.973)
O (0.414, 0.270, 0.615)
O (0.449, 0.103, 0.296)
O (0.474, 0.670, 0.870)
O (0.549, 0.740, 0.348)
O (0.599, 0.945, 0.805)
O (0.615, 0.414, 0.270)
O (0.670, 0.870, 0.474)
O (0.740, 0.348, 0.549)
O (0.776, 0.912, 0.115)
O (0.805, 0.599, 0.945)
O (0.854, 0.240, 0.043)
O (0.870, 0.474, 0.670)
O (0.912, 0.115, 0.776)
O (0.945, 0.805, 0.599)
O (0.973, 0.364, 0.176)

Calculated values
SG	No. 146
calculated total energy	-248.47	eV/cell
volume	430.05	Å³/cell
magnetization	13.00	μB/cell